(1)
Here is K3Tb2SnTe6 after structural relaxation from the Alexandria database. Energies are from PBE.

Structure (POSCAR):
```
K3Tb2SnTe6
1.0
3.917 -6.786 0.000
3.917 6.786 0.000
-2.610 0.000 8.241
K Tb Sn Te
3 2 1 6
direct
0.000 0.000 0.000
0.334 0.666 0.000
0.666 0.334 0.000
0.167 0.833 0.500
0.833 0.167 0.500
0.500 0.500 0.500
0.098 0.431 0.293
0.236 0.236 0.707
0.431 0.098 0.293
0.569 0.902 0.707
0.764 0.764 0.293
0.902 0.569 0.707
```

Output
For the energy relative to the elements, uncorrected, the calculation gives -1.1038 eV/atom. The space group is C2/m (12).

(2)
Here is Mg2CrIn after structural relaxation from the Alexandria database. Energies are from PBE.

Structure (POSCAR):
```
Mg2CrIn
1.0
2.955 -4.931 0.000
2.955 4.931 0.000
-1.180 0.000 2.838
Mg Cr In
2 1 1
direct
0.000 0.500 0.000
0.500 0.000 0.000
0.000 0.000 0.500
0.500 0.500 0.500
```

Output
The value obtained for the energy of formation is 5.97 kcal/mol of atoms. The space group is C2/m (12).

(3)
Here is ReTcPtRh after structural relaxation from the Alexandria database. Energies are from PBE.

Structure (POSCAR):
```
ReTcPtRh
1.0
4.277 0.000 0.000
0.000 1.338 5.175
0.000 -1.338 5.175
Re Tc Pt Rh
1 1 1 1
direct
0.000 0.000 0.000
0.500 0.652 0.652
0.500 0.393 0.393
0.000 0.250 0.250
```

Output
The value obtained for the energy of formation is -0.65 kcal/mol of atoms. The space group is Amm2 (38).

(4)
Here is Ag2Pt after structural relaxation from the Alexandria database. Energies are from PBE.

Structure (POSCAR):
```
Ag2Pt
1.0
4.652 0.000 0.000
-2.326 4.029 0.000
0.000 0.000 5.572
Ag Pt
4 2
direct
0.000 0.000 0.000
0.000 0.000 0.500
0.333 0.667 0.250
0.667 0.333 0.750
0.333 0.667 0.750
0.667 0.333 0.250
```

Output
The value obtained for the energy of formation is 3.48 kcal/mol of atoms. The value obtained for the energy above the lowest structure with this stoichiometry is 0.165 eV/atom. The space group is P6_3/mmc (194).

(5)
Here is BaGaH3 after structural relaxation from the Alexandria database. Energies are from PBE.

Structure (POSCAR):
```
BaGaH3
1.0
4.123 0.000 0.000
0.000 4.123 0.000
0.000 0.000 4.123
Ba Ga H
1 1 3
direct
0.000 0.000 0.000
0.500 0.500 0.500
0.000 0.500 0.500
0.500 0.000 0.500
0.500 0.500 0.000
```

Output
The value obtained for the energy above the lowest structure with this stoichiometry is 0.110 eV/atom. The space group is Pm-3m (221).

(6)
Here is ScGa3F after structural relaxation from the Alexandria database. Energies are from PBE.

Structure (POSCAR):
```
ScGa3F
1.0
4.514 0.000 0.000
0.000 4.514 0.000
0.000 0.000 4.514
Sc Ga F
1 3 1
direct
0.000 0.000 0.000
0.000 0.500 0.500
0.500 0.000 0.500
0.500 0.500 0.000
0.500 0.500 0.500
```

Output
For the energy relative to the elements, uncorrected, the calculation gives -0.5690 eV/atom. The value obtained for the energy above the lowest structure with this stoichiometry is 0.000 eV/atom. The space group is Pm-3m (221).

| no. | size of the total moment (μB per cell) | DFT total energy (eV/atom) | D(E_F) (states/eV/f.u.) |
| --- | --- | --- | --- |
| 1 | 0.00 | -4.054 | 4.12 |
| 2 | 3.85 | -3.629 | 2.38 |
| 3 | 0.00 | -9.080 | 3.30 |
| 4 | 0.00 | -3.764 | 1.06 |
| 5 | 0.00 | -3.106 | 1.15 |
| 6 | 0.00 | -4.026 | 4.03 |